First-principles (PBE with a Hubbard U) data for crystalline ErNpFeO6 at its relaxed geometry, as listed in Alexandria via LeMat-Bulk.

a = 5.550 Å, b = 5.550 Å, c = 8.780 Å
α = 90.00°, β = 90.00°, γ = 120.00°
Fractional positions:
Er: 0.333 0.667 0.250
Er: 0.667 0.333 0.750
Np: 0.333 0.667 0.750
Np: 0.667 0.333 0.250
Fe: 0.000 0.000 0.000
Fe: 0.000 0.000 0.500
O: 0.024 0.337 0.626
O: 0.024 0.687 0.874
O: 0.313 0.337 0.874
O: 0.313 0.976 0.626
O: 0.337 0.024 0.126
O: 0.337 0.313 0.374
O: 0.663 0.687 0.626
O: 0.663 0.976 0.874
O: 0.687 0.024 0.374
O: 0.687 0.663 0.126
O: 0.976 0.313 0.126
O: 0.976 0.663 0.374

* mass density: 7.9 Mg/m³
* SG: P-31c, No. 163
* final energy: -8.361 eV/atom